A relaxed structure of LaAl2Os, computed with PBE.

Cell lengths 4.3996, 4.3996, 5.8464 Å; angles 67.90, 67.90, 59.98 degrees
Fractional positions:
Os 0.6807 0.6807 0.9584
Al 0.0243 0.0243 0.9272
Al 0.2992 0.2992 0.1025
La 0.4958 0.4958 0.5119

Computed properties:
theoretical density: 7.21 g/cm3
M_tot: 0.00 μB/cell
energy of formation: -1.53 eV/f.u.
crystal system: trigonal
D(E_F): 2.884 states/eV/f.u.
volume: 22.06 Å³ per atom
energy: -6.292 eV per atom

---

A relaxed structure of Tb2PrNd2, computed with PBE.

Cell lengths 3.5807, 8.9483, 5.7734 Å; angles 71.17, 90.00, 101.54 degrees
Fractional positions:
Tb 0.9013 0.8026 0.5987
Tb 0.0987 0.1974 0.4013
Nd 0.2125 0.4250 0.7874
Nd 0.7875 0.5750 0.2126
Pr 0.5000 0.0000 0.0000

Computed properties:
theoretical density: 7.25 g/cm3
M_tot: 0.00 μB/cell
energy of formation: 0.23 eV/f.u.
crystal system: orthorhombic
D(E_F): 7.095 states/eV/f.u.
volume: 34.23 Å³ per atom
energy: -4.669 eV per atom

---

A relaxed structure of Ac8Tb2Ho, computed with PBE.

Cell lengths 5.5288, 8.6603, 10.1797 Å; angles 104.92, 105.76, 90.00 degrees
Fractional positions:
Ac 0.6815 0.9152 0.3630
Ac 0.0472 0.7299 0.0944
Ac 0.4058 0.5474 0.8117
Ac 0.9528 0.2701 0.9056
Ac 0.5942 0.4526 0.1883
Ac 0.1384 0.1902 0.2767
Ac 0.8616 0.8098 0.7233
Ac 0.3185 0.0848 0.6370
Tb 0.7738 0.3676 0.5475
Tb 0.2262 0.6324 0.4525
Ho 0.5000 0.0000 0.0000

Computed properties:
theoretical density: 8.45 g/cm3
M_tot: 0.00 μB/cell
energy of formation: 0.56 eV/f.u.
crystal system: monoclinic
D(E_F): 18.925 states/eV/f.u.
volume: 41.09 Å³ per atom
energy: -4.195 eV per atom

---

A relaxed structure of Cd2GaGeOs, computed with PBE.

Cell lengths 5.1220, 4.6486, 5.1220 Å; angles 90.00, 90.00, 90.00 degrees
Fractional positions:
Cd 0.5000 0.0000 0.0000
Cd 0.0000 0.0000 0.5000
Ge 0.0000 0.0000 0.0000
Ga 0.5000 0.5000 0.5000
Os 0.0000 0.5000 0.0000

Computed properties:
theoretical density: 7.59 g/cm3
M_tot: 0.00 μB/cell
energy of formation: 4.70 eV/f.u.
crystal system: tetragonal
D(E_F): 3.035 states/eV/f.u.
volume: 24.39 Å³ per atom
energy: -3.201 eV per atom